Record 1
This record from the Open Quantum Materials Database describes an optimized crystal structure of AcSmSi3. The functional is PBE.

Values from the calculation:
Space-group type: Cmcm
VASP energy: -5.67 eV per atom

Lattice parameters (Å, degrees): 12.787 12.787 4.038 90.00 90.00 159.43
Element x y z (fractional)
Ac: 0.071 0.929 0.750
Ac: 0.929 0.071 0.250
Sm: 0.202 0.798 0.250
Sm: 0.798 0.202 0.750
Si: 0.321 0.679 0.250
Si: 0.378 0.622 0.750
Si: 0.475 0.525 0.750
Si: 0.525 0.475 0.250
Si: 0.622 0.378 0.250
Si: 0.679 0.321 0.750

Record 2
This record from the Open Quantum Materials Database describes an optimized crystal structure of AcTbSi3. The functional is PBE.

Values from the calculation:
Space-group type: Cmcm
VASP energy: -5.65 eV per atom

Lattice parameters (Å, degrees): 12.722 12.722 4.015 90.00 90.00 159.53
Element x y z (fractional)
Ac: 0.072 0.928 0.750
Ac: 0.928 0.072 0.250
Tb: 0.203 0.797 0.250
Tb: 0.797 0.203 0.750
Si: 0.319 0.681 0.250
Si: 0.377 0.623 0.750
Si: 0.474 0.526 0.750
Si: 0.526 0.474 0.250
Si: 0.623 0.377 0.250
Si: 0.681 0.319 0.750

Record 3
This record from the Open Quantum Materials Database describes an optimized crystal structure of AcTbSi. The functional is PBE.

Values from the calculation:
Space-group type: F-43m
VASP energy: -5.05 eV per atom

Lattice parameters (Å, degrees): 5.117 5.117 5.117 60.00 60.00 60.00
Element x y z (fractional)
Ac: 0.000 0.000 0.000
Tb: 0.500 0.500 0.500
Si: 0.250 0.250 0.250

Record 4
This record from the Open Quantum Materials Database describes an optimized crystal structure of AcSiTc. The functional is PBE.

Values from the calculation:
Space-group type: F-43m
VASP energy: -6.21 eV per atom

Lattice parameters (Å, degrees): 4.713 4.713 4.713 60.00 60.00 60.00
Element x y z (fractional)
Ac: 0.000 0.000 0.000
Si: 0.250 0.250 0.250
Tc: 0.500 0.500 0.500

Record 5
This record from the Open Quantum Materials Database describes an optimized crystal structure of AcSi4Tc4. The functional is PBE.

Values from the calculation:
Space-group type: P4_2/n
VASP energy: -8.01 eV per atom

Lattice parameters (Å, degrees): 8.238 8.238 4.647 90.00 90.00 90.00
Element x y z (fractional)
Ac: 0.250 0.250 0.250
Ac: 0.750 0.750 0.750
Si: 0.051 0.906 0.170
Si: 0.094 0.551 0.670
Si: 0.406 0.949 0.670
Si: 0.449 0.594 0.170
Si: 0.551 0.406 0.830
Si: 0.594 0.051 0.330
Si: 0.906 0.449 0.330
Si: 0.949 0.094 0.830
Tc: 0.127 0.629 0.164
Tc: 0.129 0.873 0.664
Tc: 0.371 0.627 0.664
Tc: 0.373 0.871 0.164
Tc: 0.627 0.129 0.836
Tc: 0.629 0.373 0.336
Tc: 0.871 0.127 0.336
Tc: 0.873 0.371 0.836

Record 6
This record from the Open Quantum Materials Database describes an optimized crystal structure of AcThSi. The functional is PBE.

Values from the calculation:
Space-group type: F-43m
VASP energy: -5.83 eV per atom

Lattice parameters (Å, degrees): 5.131 5.131 5.131 60.00 60.00 60.00
Element x y z (fractional)
Ac: 0.000 0.000 0.000
Th: 0.500 0.500 0.500
Si: 0.250 0.250 0.250

Record 7
This record from the Open Quantum Materials Database describes an optimized crystal structure of AcSiW. The functional is PBE.

Values from the calculation:
Space-group type: F-43m
VASP energy: -5.73 eV per atom

Lattice parameters (Å, degrees): 5.054 5.054 5.054 60.00 60.00 60.00
Element x y z (fractional)
Ac: 0.000 0.000 0.000
Si: 0.750 0.750 0.750
W: 0.250 0.250 0.250

Record 8
This record from the Open Quantum Materials Database describes an optimized crystal structure of AcSiW. The functional is PBE.

Values from the calculation:
Space-group type: F-43m
VASP energy: -6.72 eV per atom

Lattice parameters (Å, degrees): 4.737 4.737 4.737 60.00 60.00 60.00
Element x y z (fractional)
Ac: 0.000 0.000 0.000
Si: 0.250 0.250 0.250
W: 0.500 0.500 0.500